Er3VPd12 after structural relaxation. Source: the Alexandria database, functional PBE-GGA.

The uncorrected energy is -96.9 eV for the cell shown. The calculation puts the formation energy at -11.82 eV per formula unit.

It has space group P4/mmm (No. 123), with a = 4.051 Å, b = 4.051 Å, c = 16.169 Å, α = 90.00°, β = 90.00° and γ = 90.00°. The asymmetric unit holds Er at (0.000, 0.000, 0.000), Er at (0.000, 0.000, 0.254), V at (0.000, 0.000, 0.500), Pd at (0.000, 0.500, 0.129), Pd at (0.000, 0.500, 0.388), Pd at (0.500, 0.500, 0.000), Pd at (0.500, 0.500, 0.259) and Pd at (0.500, 0.500, 0.500).